Entry 1:
{"formula": "AcThTe", "functional": "PBE-GGA", "state": "relaxed", "e_above_lowest_polymorph_kj_per_mol_atoms": 0.00, "cell": [[-4.430, -1.862, 2.499], [-1.106, 1.556, 5.069], [-4.165, 3.325, 0.964]], "species": ["Th", "Ac", "Te"], "fractional_positions": [[0.000, 0.000, 0.000], [0.500, 0.500, 0.500], [0.250, 0.250, 0.250]]}

---

Entry 2:
{"formula": "AcTmTe3", "functional": "PBE-GGA", "state": "relaxed", "cell": [[9.330, 0.000, 0.000], [0.000, 4.562, 0.000], [0.000, 0.000, 15.798]], "species": ["Te", "Te", "Ac", "Te", "Te", "Ac", "Te", "Te", "Tm", "Te", "Te", "Ac", "Te", "Tm", "Ac", "Te", "Tm", "Tm", "Te", "Te"], "fractional_positions": [[0.524, 0.250, 0.381], [0.024, 0.250, 0.119], [0.408, 0.250, 0.174], [0.653, 0.250, 0.985], [0.184, 0.750, 0.284], [0.092, 0.750, 0.674], [0.684, 0.750, 0.216], [0.347, 0.750, 0.015], [0.160, 0.250, 0.948], [0.476, 0.750, 0.619], [0.847, 0.750, 0.485], [0.908, 0.250, 0.326], [0.816, 0.250, 0.716], [0.660, 0.250, 0.552], [0.592, 0.750, 0.826], [0.316, 0.250, 0.784], [0.840, 0.750, 0.052], [0.340, 0.750, 0.448], [0.153, 0.250, 0.515], [0.976, 0.750, 0.881]]}

---

Entry 3:
{"formula": "AcTeW", "functional": "PBE-GGA", "state": "relaxed", "e_above_lowest_polymorph_kj_per_mol_atoms": 0.00, "cell": [[0.000, 3.469, 3.469], [3.469, 0.000, 3.469], [3.469, 3.469, 0.000]], "species": ["Te", "Ac", "W"], "fractional_positions": [[0.500, 0.500, 0.500], [0.000, 0.000, 0.000], [0.250, 0.250, 0.250]]}

---

Entry 4:
{"formula": "AcTeW", "functional": "PBE-GGA", "state": "relaxed", "e_above_lowest_polymorph_kj_per_mol_atoms": 56.32, "cell": [[-2.595, -4.803, -0.510], [-2.448, -2.269, 4.350], [-5.473, -0.201, 0.271]], "species": ["Ac", "Te", "W"], "fractional_positions": [[0.000, 0.000, 0.000], [0.250, 0.250, 0.250], [0.750, 0.750, 0.750]]}

---

Entry 5:
{"formula": "AcZnTe", "functional": "PBE-GGA", "state": "relaxed", "e_above_lowest_polymorph_kj_per_mol_atoms": 0.00, "cell": [[2.284, -4.548, -0.640], [-1.871, -3.353, -3.400], [2.585, -0.986, -4.319]], "species": ["Zn", "Te", "Ac"], "fractional_positions": [[0.000, 0.000, 0.000], [0.750, 0.750, 0.750], [0.250, 0.250, 0.250]]}

---

Entry 6:
{"formula": "AcZnTe", "functional": "PBE-GGA", "state": "relaxed", "e_above_lowest_polymorph_kj_per_mol_atoms": 2.95, "cell": [[0.000, 3.809, 3.809], [3.809, 0.000, 3.809], [3.809, 3.809, 0.000]], "species": ["Ac", "Te", "Zn"], "fractional_positions": [[0.000, 0.000, 0.000], [0.250, 0.250, 0.250], [0.750, 0.750, 0.750]]}

---

Entry 7:
{"formula": "AcThTl", "functional": "PBE-GGA", "state": "relaxed", "e_above_lowest_polymorph_kj_per_mol_atoms": 0.00, "cell": [[0.427, 3.636, 4.042], [-0.971, 5.279, -0.967], [-4.478, 2.365, 2.024]], "species": ["Th", "Tl", "Ac"], "fractional_positions": [[0.750, 0.750, 0.750], [0.000, 0.000, 0.000], [0.250, 0.250, 0.250]]}

---

Entry 8:
{"formula": "AcTm5Th3", "functional": "PBE-GGA", "state": "relaxed", "ef_ev_per_fu": 3.40, "cell": [[7.994, 0.000, 0.000], [-3.997, 6.923, 0.000], [0.000, 0.000, 5.412]], "species": ["Th", "Tm", "Tm", "Th", "Tm", "Tm", "Tm", "Ac", "Th"], "fractional_positions": [[0.547, 0.000, 0.500], [0.241, 0.000, 0.000], [0.667, 0.333, 0.000], [0.000, 0.547, 0.500], [0.333, 0.667, 0.000], [0.000, 0.241, 0.000], [0.759, 0.759, 0.000], [0.000, 0.000, 0.500], [0.453, 0.453, 0.500]]}

---

Entry 9:
{"formula": "AcTmTl", "functional": "PBE-GGA", "state": "relaxed", "e_above_lowest_polymorph_kj_per_mol_atoms": 25.37, "cell": [[4.755, -2.514, -0.411], [3.309, -0.223, 4.254], [0.803, -4.686, 2.550]], "species": ["Tm", "Ac", "Tl"], "fractional_positions": [[0.750, 0.750, 0.750], [0.250, 0.250, 0.250], [0.000, 0.000, 0.000]]}

---

Entry 10:
{"formula": "AcTmTl", "functional": "PBE-GGA", "state": "relaxed", "e_above_lowest_polymorph_kj_per_mol_atoms": 0.00, "cell": [[-2.566, 3.612, -2.149], [-2.334, -3.319, -2.791], [-5.960, -0.745, 5.888]], "species": ["Tl", "Ac", "Tm", "Tl", "Tm", "Ac"], "fractional_positions": [[0.749, 0.749, 0.760], [0.751, 0.751, 0.351], [0.250, 0.750, 0.000], [0.251, 0.251, 0.240], [0.750, 0.250, 0.000], [0.249, 0.249, 0.649]]}

---

Entry 11:
{"formula": "AcTmTl", "functional": "PBE-GGA", "state": "relaxed", "e_above_lowest_polymorph_kj_per_mol_atoms": 71.78, "cell": [[0.000, 3.889, 3.889], [3.889, 0.000, 3.889], [3.889, 3.889, 0.000]], "species": ["Tl", "Tm", "Ac"], "fractional_positions": [[0.250, 0.250, 0.250], [0.750, 0.750, 0.750], [0.000, 0.000, 0.000]]}

---

Entry 12:
{"formula": "AcTlZn", "functional": "PBE-GGA", "state": "relaxed", "e_above_lowest_polymorph_kj_per_mol_atoms": 40.70, "cell": [[0.000, 3.773, 3.773], [3.773, 0.000, 3.773], [3.773, 3.773, 0.000]], "species": ["Zn", "Ac", "Tl"], "fractional_positions": [[0.750, 0.750, 0.750], [0.000, 0.000, 0.000], [0.250, 0.250, 0.250]]}

---

| no. | total energy (eV per atom) |
| --- | --- |
| 1 | -5.195 |
| 2 | -5.072 |
| 3 | -6.116 |
| 4 | -5.532 |
| 5 | -3.388 |
| 6 | -3.357 |
| 7 | -4.438 |
| 8 | -5.036 |
| 9 | -3.635 |
| 10 | -3.898 |
| 11 | -3.154 |
| 12 | -2.439 |